## 1
# PBE Zn2Ag3Au3, optimized geometry
data_Zn2Ag3Au3
_chemical_formula_sum 'Zn8 Ag12 Au12'
_cell_length_a 4.3363
_cell_length_b 9.9666
_cell_length_c 13.3934
_cell_angle_alpha 90.00
_cell_angle_beta 90.00
_cell_angle_gamma 90.00
_symmetry_space_group_name_H-M 'C m c m'
_symmetry_Int_Tables_number 63
_symmetry_space_group_name_Hall '-C 2c 2'
loop_
_atom_site_label
_atom_site_fract_x
_atom_site_fract_y
_atom_site_fract_z
_atom_site_occupancy
Zn1 0.0000 0.2447 0.1118 1
Ag1 0.0000 0.0784 0.5918 1
Ag2 0.0000 0.2672 0.7500 1
Au1 0.0000 0.3899 0.5642 1
Au2 0.0000 0.4404 0.2500 1
# crystal system: orthorhombic

---

## 2
# PBE Zn2Ag3Au3, optimized geometry
data_Zn2Ag3Au3
_chemical_formula_sum 'Zn6 Ag9 Au9'
_cell_length_a 7.7166
_cell_length_b 7.7166
_cell_length_c 8.5519
_cell_angle_alpha 90.00
_cell_angle_beta 90.00
_cell_angle_gamma 120.00
_symmetry_space_group_name_H-M 'R 3 2'
_symmetry_Int_Tables_number 155
_symmetry_space_group_name_Hall 'R 3 2"'
loop_
_atom_site_label
_atom_site_fract_x
_atom_site_fract_y
_atom_site_fract_z
_atom_site_occupancy
Zn1 0.0000 0.0000 0.2156 1
Ag1 0.0000 0.3274 0.0000 1
Au1 0.0000 0.6762 0.5000 1
# crystal system: trigonal

---

Stability verdict: 1, ahead by 2.8 kJ/mol of atoms